1.
A relaxed SeS5 crystal. Source: the Alexandria database, functional PBE.

Summary:
Formation energy without anion corrections = 767 meV/atom
Magnetic moment = 0.00 μB per formula unit
Raw total energy = -3.253 eV per atom
Crystal system = triclinic

Cell and atoms, written as CIF:
```
data_SeS5
_cell_length_a 2.160
_cell_length_b 8.124
_cell_length_c 11.306
_cell_angle_alpha 100.36
_cell_angle_beta 111.72
_cell_angle_gamma 90.01
_space_group_name_H-M_alt 'P 1'
_space_group_IT_number 1
loop_
_space_group_symop_operation_xyz
'x,y,z'
loop_
_atom_site_label
_atom_site_type_symbol
_atom_site_fract_x
_atom_site_fract_y
_atom_site_fract_z
Se1 Se 0.640 0.778 0.277
S1 S 0.985 0.947 0.946
S2 S 0.296 0.113 0.611
S3 S 0.639 0.277 0.277
S4 S 0.980 0.442 0.944
S5 S 0.294 0.609 0.611
```


2.
A relaxed SeS2 crystal. Source: the Alexandria database, functional PBE.

Summary:
Formation energy without anion corrections = 53 meV/atom
Magnetic moment = 0.00 μB per formula unit
Distance to the lowest polymorph of the same formula = 1.7 kJ per mole of atoms
Raw total energy = -3.860 eV per atom
Crystal system = monoclinic

Cell and atoms, written as CIF:
```
data_SeS2
_cell_length_a 4.619
_cell_length_b 4.643
_cell_length_c 9.044
_cell_angle_alpha 90.00
_cell_angle_beta 90.74
_cell_angle_gamma 90.00
_space_group_name_H-M_alt 'P 1'
_space_group_IT_number 1
loop_
_space_group_symop_operation_xyz
'x,y,z'
loop_
_atom_site_label
_atom_site_type_symbol
_atom_site_fract_x
_atom_site_fract_y
_atom_site_fract_z
S1 S 0.847 0.354 0.081
S2 S 0.153 0.354 0.919
S3 S 0.847 0.854 0.581
S4 S 0.153 0.854 0.419
Se1 Se 0.500 0.156 0.500
Se2 Se 0.500 0.656 0.000
```